# 1
Computed, not measured: an optimized crystal structure of K2NdFeO4 at the GGA+U level of DFT.

abc: 6.8302 7.2556 9.8510
angles: 90.00 90.00 90.00
Space group Imma (No. 74)
Asymmetric unit:
K: 0.0000 0.0000 0.0000 x4
K: 0.2500 0.2500 0.2500 x4
Nd: 0.0000 0.0000 0.5000 x4
Fe: 0.2500 0.2500 0.7500 x4
O: 0.0000 0.0543 0.7402 x8
O: 0.2236 0.2500 0.5327 x8



# 2
Computed, not measured: an optimized crystal structure of KNdFeSnO6 at the GGA+U level of DFT.

abc: 8.0038 8.0038 8.0038
angles: 90.00 90.00 90.00
Space group F-43m (No. 216)
Asymmetric unit:
K: 0.0000 0.0000 0.0000 x4
Nd: 0.0000 0.0000 0.5000 x4
Fe: 0.2500 0.2500 0.7500 x4
Sn: 0.2500 0.2500 0.2500 x4
O: 0.0051 0.2500 0.7500 x24



# 3
Computed, not measured: an optimized crystal structure of KSrNdFeO6 at the GGA+U level of DFT.

abc: 8.3420 8.3420 8.3420
angles: 90.00 90.00 90.00
Space group F-43m (No. 216)
Asymmetric unit:
K: 0.0000 0.0000 0.0000 x4
Sr: 0.0000 0.0000 0.5000 x4
Nd: 0.2500 0.2500 0.7500 x4
Fe: 0.2500 0.2500 0.2500 x4
O: 0.0254 0.2500 0.2500 x24



no.,density of states at the Fermi level (states/eV per cell),magnetic moment (μB per cell),raw total energy (eV per atom)
1,0.0,20.39,-5.944
2,25.0,18.27,-6.321
3,17.1,16.17,-6.133